Entry 1:
Entry from Alexandria via LeMat-Bulk: a relaxed Ta3Tc2 crystal (PBE-GGA).

a b c (Å): 4.395 4.395 5.499
angles (deg): 90.00 90.00 120.00
Element x y z (fractional)
1 Ta 0.000 0.000 0.000
2 Ta 0.333 0.667 0.343
3 Ta 0.667 0.333 0.657
4 Tc 0.667 0.333 0.169
5 Tc 0.333 0.667 0.831

Results
Size of the total moment: 0.000 μB per formula unit
Formation energy: -0.5 kcal/mol of atoms
Distance to the lowest polymorph of the same formula: 1.95 eV per formula unit
Space group: P-3m1

***

Entry 2:
Entry from Alexandria via LeMat-Bulk: a relaxed Er2TlZn crystal (PBE-GGA).

a b c (Å): 3.636 3.636 7.358
angles (deg): 90.00 90.00 90.00
Element x y z (fractional)
1 Er 0.000 0.000 0.229
2 Er 0.000 0.000 0.771
3 Zn 0.500 0.500 0.000
4 Tl 0.500 0.500 0.500

Results
Size of the total moment: 0.000 μB per formula unit
Formation energy: -7.8 kcal/mol of atoms
Space group: P4/mmm

***

no.,raw total energy (eV per atom)
1,-11.2799
2,-3.5309